Entry 1:
Sm12Ho2Er, optimized geometry, DFT PBE; calculated formation energy = 0.163 eV/atom; symmetry = Cmme, No. 67; D(E_F) = 46.3 states/eV/cell
1.0
-4.412 -4.419 -2.599
5.055 1.922 -4.062
13.843 -18.739 8.361
Sm Er Ho
24 2 4
direct
0.000 0.000 0.675
0.773 0.727 0.440
0.751 0.749 0.925
0.273 0.227 0.560
0.000 0.000 0.325
0.000 0.000 0.199
0.232 0.732 0.586
0.000 0.000 0.801
0.768 0.268 0.586
0.749 0.249 0.871
0.249 0.251 0.925
0.727 0.773 0.560
0.500 0.500 0.199
0.500 0.500 0.801
0.251 0.249 0.075
0.249 0.749 0.129
0.227 0.273 0.440
0.749 0.751 0.075
0.732 0.232 0.414
0.251 0.751 0.871
0.500 0.500 0.325
0.500 0.500 0.675
0.268 0.768 0.414
0.751 0.251 0.129
0.500 0.000 0.999
0.000 0.500 0.001
0.000 0.500 0.734
0.500 0.000 0.730
0.500 0.000 0.266
0.000 0.500 0.270

Entry 2:
CaRe2B, optimized geometry, DFT PBE; calculated formation energy = 0.932 eV/atom; symmetry = I-42d, No. 122; D(E_F) = 7.5 states/eV/cell
1.0
-1.237 1.983 4.077
-4.485 -1.152 -0.800
-1.801 -6.157 5.157
B Re Ca
2 4 2
direct
0.500 0.500 0.000
0.250 0.750 0.500
0.875 0.665 0.750
0.415 0.125 0.250
0.335 0.625 0.250
0.375 0.585 0.750
0.750 0.250 0.500
0.000 0.000 0.000

Entry 3:
CaMgTa2, optimized geometry, DFT PBE; calculated formation energy = 0.655 eV/atom; symmetry = Cmmm, No. 65; D(E_F) = 5.2 states/eV/cell
1.0
-1.033 -4.957 3.058
4.417 3.629 1.519
-1.751 1.417 1.706
Ta Mg Ca
2 1 1
direct
0.000 0.000 0.000
0.500 0.500 0.000
0.000 0.500 0.500
0.500 0.000 0.500

Entry 4:
NdSc4Rh5, optimized geometry, DFT PBE; calculated formation energy = -0.915 eV/atom; symmetry = P4/mmm, No. 123; D(E_F) = 4.0 states/eV/cell
1.0
3.231 0.000 0.000
0.000 3.231 0.000
0.000 0.000 17.056
Sc Rh Nd
4 5 1
direct
0.000 0.000 0.596
0.000 0.000 0.404
0.000 0.000 0.788
0.000 0.000 0.212
0.500 0.500 0.121
0.500 0.500 0.690
0.500 0.500 0.310
0.500 0.500 0.879
0.500 0.500 0.500
0.000 0.000 0.000

Entry 5:
LiICl2, optimized geometry, DFT PBE; formation energy from raw total energies = -0.9104 eV/atom; E above lowest polymorph = 0.0000 eV per atom; symmetry = R-3m, No. 166; D(E_F) = 0.0 states/eV/cell
1.0
0.515 7.583 2.577
1.894 5.291 5.729
4.408 6.193 2.573
Li Cl I
1 2 1
direct
0.500 0.500 0.500
0.888 0.888 0.888
0.112 0.112 0.112
0.000 0.000 0.000

Entry 6:
BiBPd2, optimized geometry, DFT PBE; calculated formation energy = 0.613 eV/atom; E above lowest polymorph = 0.7269 eV per atom; symmetry = Fm-3m, No. 225; D(E_F) = 2.0 states/eV/cell
1.0
0.000 3.218 3.218
3.218 0.000 3.218
3.218 3.218 0.000
Pd Bi B
2 1 1
direct
0.250 0.250 0.250
0.750 0.750 0.750
0.500 0.500 0.500
0.000 0.000 0.000

Entry 7:
AcZnP, optimized geometry, DFT PBE; calculated formation energy = -0.836 eV/atom; E above lowest polymorph = 0.0000 eV per atom; symmetry = C2/m, No. 12; D(E_F) = 2.3 states/eV/cell
1.0
-2.912 2.754 -1.290
-4.339 -3.257 2.856
3.489 7.644 1.556
P Zn Ac
2 2 2
direct
0.666 0.412 0.668
0.334 0.588 0.332
0.066 0.538 0.867
0.934 0.462 0.133
0.640 0.955 0.719
0.360 0.045 0.281

Entry 8:
Ba3AgN, optimized geometry, DFT PBE; formation energy from raw total energies = -0.2923 eV/atom; E above lowest polymorph = 0.0000 eV per atom; symmetry = P-1, No. 2; D(E_F) = 5.6 states/eV/cell
1.0
7.553 0.042 -1.341
-0.191 4.539 -0.969
-1.194 0.063 11.709
Ba N Ag
6 2 2
direct
0.850 0.697 0.393
0.792 0.055 0.111
0.150 0.303 0.607
0.700 0.848 0.697
0.208 0.945 0.889
0.300 0.152 0.303
0.990 0.169 0.339
0.010 0.831 0.661
0.447 0.556 0.112
0.553 0.444 0.888

Entry 9:
Sm4RuAu, optimized geometry, DFT PBE; calculated formation energy = -0.404 eV/atom; symmetry = C2/c, No. 15; D(E_F) = 14.7 states/eV/cell
1.0
6.352 -0.087 0.000
-1.730 7.810 0.000
-2.311 -3.861 6.738
Sm Au Ru
8 2 2
direct
0.646 0.059 0.355
0.975 0.779 0.134
0.025 0.221 0.866
0.354 0.941 0.645
0.341 0.645 0.866
0.209 0.296 0.355
0.659 0.355 0.134
0.791 0.704 0.645
0.621 0.371 0.742
0.379 0.629 0.258
0.251 0.001 0.002
0.749 0.999 0.998

Entry 10:
Ca3Ga2Ag3, optimized geometry, DFT PBE; calculated formation energy = -0.370 eV/atom; symmetry = Pnma, No. 62; D(E_F) = 18.1 states/eV/cell
1.0
-3.857 4.052 2.000
-6.127 -4.991 -1.705
1.022 -6.263 14.664
Ca Ag Ga
12 12 8
direct
0.869 0.530 0.893
0.631 0.030 0.607
0.131 0.470 0.107
0.131 0.470 0.393
0.877 0.834 0.250
0.623 0.334 0.250
0.369 0.970 0.107
0.369 0.970 0.393
0.123 0.166 0.750
0.631 0.030 0.893
0.869 0.530 0.607
0.377 0.666 0.750
0.403 0.675 0.966
0.886 0.815 0.750
0.597 0.325 0.466
0.403 0.675 0.534
0.114 0.185 0.250
0.097 0.175 0.534
0.386 0.685 0.250
0.903 0.825 0.034
0.903 0.825 0.466
0.614 0.315 0.750
0.597 0.325 0.034
0.097 0.175 0.966
0.870 0.121 0.391
0.130 0.879 0.891
0.630 0.621 0.391
0.370 0.379 0.609
0.870 0.121 0.109
0.130 0.879 0.609
0.630 0.621 0.109
0.370 0.379 0.891

Entry 11:
Dy4PtS5, optimized geometry, DFT PBE; formation energy from raw total energies = -1.7327 eV/atom; symmetry = C2/m, No. 12
1.0
-3.874 0.346 -0.804
1.500 -1.479 -7.861
0.466 -7.726 4.233
Dy S Pt
4 5 1
direct
0.003 0.268 0.007
0.316 0.869 0.631
0.684 0.131 0.369
0.997 0.732 0.993
0.500 0.500 0.000
0.162 0.332 0.325
0.839 0.120 0.679
0.838 0.668 0.675
0.161 0.880 0.321
0.500 0.000 0.000

Entry 12:
NbCrRe2H, optimized geometry, DFT PBE; E above lowest polymorph = 0.0896 eV per atom; symmetry = P4/mmm, No. 123; D(E_F) = 5.9 states/eV/cell
1.0
-3.408 -1.719 -0.990
1.906 -3.550 -0.394
-0.701 -0.798 3.797
Nb H Re Cr
1 1 2 1
direct
0.000 0.500 0.000
0.000 0.000 0.000
0.500 0.000 0.000
0.000 0.000 0.500
0.500 0.500 0.500